A geometry-optimized CaCeSm2S4 structure, computed with PBE-GGA.

a = 6.9511 Å, b = 4.0019 Å, c = 6.9862 Å
α = 90.00°, β = 109.26°, γ = 90.00°
Last column: nearest neighbours and their distance in Å.
Space group P2/m (No. 10)
Symmetry-distinct sites (fractional):
Ca1 0.0000 0.0000 0.0000 x1  6 S 2.82-2.83
Ce1 0.0000 0.5000 0.5000 x1  6 S 2.85
Sm1 0.5000 0.0000 0.5000 x1  6 S 2.86
Sm2 0.5000 0.5000 0.0000 x1  6 S 2.83-2.84
S1 0.2480 0.5000 0.2471 x2  2 Ca 2.83, 3 Sm 2.84-2.86, 1 Ce 2.85
S2 0.2494 0.0000 0.7531 x2  1 Ca 2.82, 3 Sm 2.83-2.86, 2 Ce 2.85

Summary:
Energy relative to the elements, uncorrected ... -2.040 eV per atom
Magnetic moment ... 0.865 μB per cell
DFT total energy ... -0.23060 hartree per atom

A geometry-optimized CaCe2SmS4 structure, computed with PBE-GGA.

a = 6.9672 Å, b = 4.0057 Å, c = 7.0167 Å
α = 90.00°, β = 109.19°, γ = 90.00°
Last column: nearest neighbours and their distance in Å.
Space group P2/m (No. 10)
Symmetry-distinct sites (fractional):
Ca1 0.0000 0.0000 0.0000 x1  6 S 2.82
Ce1 0.0000 0.5000 0.5000 x1  6 S 2.86
Ce2 0.5000 0.0000 0.5000 x1  6 S 2.87-2.88
Sm1 0.5000 0.5000 0.0000 x1  6 S 2.84
S1 0.2464 0.5000 0.2445 x2  2 Ca 2.82, 1 Sm 2.84, 3 Ce 2.86-2.87
S2 0.2492 0.0000 0.7544 x2  1 Ca 2.82, 2 Sm 2.84, 3 Ce 2.86-2.88

Summary:
Energy relative to the elements, uncorrected ... -2.026 eV per atom
Magnetic moment ... 2.102 μB per cell
DFT total energy ... -0.23570 hartree per atom

A geometry-optimized CaTb4CeS8 structure, computed with PBE-GGA.

a = 8.1367 Å, b = 8.1367 Å, c = 20.1878 Å
α = 90.00°, β = 90.00°, γ = 120.00°
Last column: nearest neighbours and their distance in Å.
Space group R3m (No. 160, hexagonal axes)
Symmetry-distinct sites (fractional):
Ca1 0.0000 0.0000 0.0000 x3  4 S 2.69-2.72
Tb1 0.0000 0.0000 0.2507 x3  4 S 2.64-2.67
Tb2 0.1689 0.3378 0.4581 x9  6 S 2.74-2.82
Ce1 0.0000 0.0000 0.6264 x3  6 S 2.82-2.88
S1 0.0000 0.0000 0.3831 x3  4 Tb 2.67-2.82
S2 0.0000 0.0000 0.8652 x3  1 Ca 2.72, 3 Tb 2.75
S3 0.0234 0.5117 0.3813 x9  1 Ca 2.69, 2 Tb 2.74, 1 Ce 2.82
S4 0.1745 0.3489 0.2035 x9  3 Tb 2.64-2.81, 1 Ce 2.88

Summary:
Energy relative to the elements, uncorrected ... -1.976 eV per atom
Magnetic moment ... 4.163 μB per cell
DFT total energy ... -0.22874 hartree per atom

A geometry-optimized CaTbCe2S4 structure, computed with PBE-GGA.

a = 6.9155 Å, b = 3.9798 Å, c = 6.9938 Å
α = 90.00°, β = 109.11°, γ = 90.00°
Last column: nearest neighbours and their distance in Å.
Space group P2/m (No. 10)
Symmetry-distinct sites (fractional):
Ca1 0.0000 0.0000 0.0000 x1  6 S 2.80
Tb1 0.5000 0.5000 0.0000 x1  6 S 2.79
Ce1 0.0000 0.5000 0.5000 x1  6 S 2.87-2.88
Ce2 0.5000 0.0000 0.5000 x1  6 S 2.86-2.87
S1 0.2487 0.5000 0.2414 x2  1 Tb 2.79, 2 Ca 2.80, 3 Ce 2.86-2.88
S2 0.2542 0.0000 0.7598 x2  2 Tb 2.79, 1 Ca 2.80, 3 Ce 2.87

Summary:
Energy relative to the elements, uncorrected ... -2.024 eV per atom
Magnetic moment ... 2.156 μB per cell
DFT total energy ... -0.23521 hartree per atom

A geometry-optimized CaTb2CeS4 structure, computed with PBE-GGA.

a = 6.8777 Å, b = 3.9572 Å, c = 6.9167 Å
α = 90.00°, β = 109.22°, γ = 90.00°
Last column: nearest neighbours and their distance in Å.
Space group P2/m (No. 10)
Symmetry-distinct sites (fractional):
Ca1 0.0000 0.0000 0.0000 x1  6 S 2.82
Tb1 0.5000 0.0000 0.5000 x1  6 S 2.80-2.81
Tb2 0.5000 0.5000 0.0000 x1  6 S 2.78
Ce1 0.0000 0.5000 0.5000 x1  6 S 2.85
S1 0.2549 0.5000 0.2489 x2  3 Tb 2.78-2.80, 2 Ca 2.82, 1 Ce 2.85
S2 0.2567 0.0000 0.7560 x2  3 Tb 2.78-2.81, 1 Ca 2.82, 2 Ce 2.85

Summary:
Energy relative to the elements, uncorrected ... -2.035 eV per atom
Magnetic moment ... 0.907 μB per cell
DFT total energy ... -0.22960 hartree per atom

A geometry-optimized CaCeTl2S4 structure, computed with PBE-GGA.

a = 7.0779 Å, b = 4.1588 Å, c = 7.7969 Å
α = 90.00°, β = 107.75°, γ = 90.00°
Last column: nearest neighbours and their distance in Å.
Space group P2/m (No. 10)
Symmetry-distinct sites (fractional):
Ca1 0.0000 0.0000 0.0000 x1  6 S 2.86
Ce1 0.5000 0.5000 0.0000 x1  6 S 2.70-2.78
Tl1 0.0000 0.5000 0.5000 x1  6 S 3.29-3.33
Tl2 0.5000 0.0000 0.5000 x1  6 S 3.19-3.23
S1 0.2485 0.5000 0.1997 x2  1 Ce 2.70, 2 Ca 2.86
S2 0.2774 0.0000 0.7997 x2  2 Ce 2.78, 1 Ca 2.86

Summary:
Energy relative to the elements, uncorrected ... -1.353 eV per atom
Magnetic moment ... 0.140 μB per cell
DFT total energy ... -0.18377 hartree per atom

A geometry-optimized Ca2CeTl3S6 structure, computed with PBE-GGA.

a = 7.1644 Å, b = 12.4068 Å, c = 7.5659 Å
α = 90.00°, β = 108.40°, γ = 90.00°
Last column: nearest neighbours and their distance in Å.
Space group C2/m (No. 12)
Symmetry-distinct sites (fractional):
Ca1 0.0000 0.1659 0.0000 x4  6 S 2.86-2.87
Ce1 0.0000 0.5000 0.0000 x2  6 S 2.74-2.75
Tl1 0.0000 0.0000 0.5000 x2  6 S 3.14-3.23
Tl2 0.0000 0.3311 0.5000 x4  6 S 3.14-3.23
S1 0.2296 0.3398 0.2080 x8  1 Ce 2.74, 2 Ca 2.86
S2 0.2491 0.5000 0.7876 x4  1 Ce 2.75, 2 Ca 2.87

Summary:
Energy relative to the elements, uncorrected ... -1.253 eV per atom
Magnetic moment ... 0.000 μB per cell
DFT total energy ... -0.17407 hartree per atom

A geometry-optimized Ca2CeTmS4 structure, computed with PBE-GGA.

a = 6.8761 Å, b = 3.9590 Å, c = 6.9695 Å
α = 90.00°, β = 109.07°, γ = 90.00°
Last column: nearest neighbours and their distance in Å.
Space group P2/m (No. 10)
Symmetry-distinct sites (fractional):
Ca1 0.0000 0.0000 0.0000 x1  6 S 2.87
Ca2 0.5000 0.5000 0.0000 x1  6 S 2.79-2.80
Ce1 0.0000 0.5000 0.5000 x1  6 S 2.84-2.85
Tm1 0.5000 0.0000 0.5000 x1  6 S 2.77
S1 0.2596 0.0000 0.7509 x2  1 Tm 2.77, 3 Ca 2.79-2.87, 2 Ce 2.85
S2 0.2608 0.5000 0.2564 x2  2 Tm 2.77, 3 Ca 2.80-2.87, 1 Ce 2.84

Summary:
Energy relative to the elements, uncorrected ... -2.015 eV per atom
Magnetic moment ... 1.356 μB per cell
DFT total energy ... -0.21608 hartree per atom